(A)
GGA-PBE LaGa3Pb, relaxed; size of the total moment = 0.00 μB per cell
1.0
5.358 0.000 0.000
0.000 5.358 0.000
0.000 0.000 5.358
Pb Ga La
1 3 1
direct
0.000 0.000 0.000 Pb
0.000 0.500 0.000 Ga
0.000 0.000 0.500 Ga
0.500 0.000 0.000 Ga
0.500 0.500 0.500 La


(B)
GGA-PBE LaGa3Pb, relaxed; size of the total moment = 0.00 μB per cell
1.0
5.649 0.000 0.000
0.000 5.649 0.000
0.000 0.000 5.649
Pb Ga La
1 3 1
direct
0.500 0.500 0.500 Pb
0.000 0.500 0.000 Ga
0.000 0.000 0.500 Ga
0.500 0.000 0.000 Ga
0.000 0.000 0.000 La


(A) wins, 270 meV per atom ahead of the next structure.